K3SnBi3O8 after structural relaxation, computed with PBE-GGA.

The structure belongs to space group R-3m (No. 166, hexagonal axes); the cell edges are 7.0614, 7.0614 and 19.1497 Å and the angles 90.00°, 90.00° and 120.00°. Symmetry generates all atoms from K at (0.0000, 0.5000, 0.0000), Sn at (0.0000, 0.0000, 0.5000), Bi at (0.0000, 0.5000, 0.5000), O at (0.0000, 0.0000, 0.2339) and O at (0.0369, 0.5184, 0.2267).

Ca5Cu2F12 after structural relaxation, computed with PBE-GGA.

The structure belongs to space group C2/m (No. 12); the cell edges are 12.468, 5.814 and 7.818 Å and the angles 90.00°, 107.77° and 90.00°. Symmetry generates all atoms from Ca at (0.000, 0.000, 0.000), Ca at (0.176, 0.500, 0.848), Ca at (0.192, 0.500, 0.336), Cu at (0.000, 0.219, 0.500), F at (0.007, 0.500, 0.225), F at (0.053, 0.000, 0.758), F at (0.167, 0.247, 0.091) and F at (0.167, 0.274, 0.576).

LiPmCd6 after structural relaxation, computed with PBE-GGA.

The structure belongs to space group P4/mmm (No. 123); the cell edges are 4.661, 4.661 and 8.486 Å and the angles 90.00°, 90.00° and 90.00°. Symmetry generates all atoms from Li at (0.000, 0.000, 0.000), Pm at (0.000, 0.000, 0.500), Cd at (0.000, 0.500, 0.231), Cd at (0.500, 0.500, 0.000) and Cd at (0.500, 0.500, 0.500).

As for the energy above the most stable polymorph in this dataset: 0.028 eV/atom.

TiTeS3 after structural relaxation, computed with PBE-GGA.

The structure belongs to space group Pm-3m (No. 221); the cell edges are 4.721, 4.721 and 4.721 Å and the angles 90.00°, 90.00° and 90.00°. Symmetry generates all atoms from Ti at (0.000, 0.000, 0.000), Te at (0.500, 0.500, 0.500) and S at (0.000, 0.000, 0.500).

As for the energy above the most stable polymorph in this dataset: 0.367 eV/atom.

Si2BiCl after structural relaxation, computed with PBE-GGA.

The structure belongs to space group Fm-3m (No. 225); the cell edges are 7.044, 7.044 and 7.044 Å and the angles 90.00°, 90.00° and 90.00°. Symmetry generates all atoms from Si at (0.250, 0.250, 0.250), Bi at (0.000, 0.000, 0.000) and Cl at (0.000, 0.000, 0.500).

As for the energy above the most stable polymorph in this dataset: 0.000 eV/atom.

Mg2ScAu2 after structural relaxation, computed with PBE-GGA.

The structure belongs to space group P2_1/m (No. 11); the cell edges are 4.649, 4.633 and 9.880 Å and the angles 90.00°, 90.34° and 90.00°. Symmetry generates all atoms from Mg at (0.248, 0.250, 0.007), Mg at (0.249, 0.250, 0.327), Sc at (0.252, 0.250, 0.674), Au at (0.249, 0.750, 0.491) and Au at (0.251, 0.750, 0.837).

As for the energy above the most stable polymorph in this dataset: 0.000 eV/atom.

YHo4PbS8 after structural relaxation, computed with PBE-GGA.

The structure belongs to space group R3m (No. 160, hexagonal axes); the cell edges are 8.1107, 8.1107 and 19.9556 Å and the angles 90.00°, 90.00° and 120.00°. Symmetry generates all atoms from Y at (0.0000, 0.0000, 0.0000), Ho at (0.0000, 0.0000, 0.3767), Ho at (0.0051, 0.5025, 0.5027), Pb at (0.0000, 0.0000, 0.6276), S at (0.0000, 0.0000, 0.2442), S at (0.0000, 0.0000, 0.7664), S at (0.0196, 0.5098, 0.7550) and S at (0.1845, 0.3691, 0.5800).

Sr2SmSnSe5 after structural relaxation, computed with PBE-GGA.

The structure belongs to space group Cmc2_1 (No. 36); the cell edges are 4.346, 18.314 and 13.153 Å and the angles 90.00°, 90.00° and 90.00°. Symmetry generates all atoms from Sr at (0.000, 0.112, 0.000), Sr at (0.000, 0.136, 0.628), Sm at (0.000, 0.213, 0.337), Sn at (0.000, 0.463, 0.770), Se at (0.000, 0.052, 0.392), Se at (0.000, 0.283, 0.986), Se at (0.000, 0.318, 0.687), Se at (0.000, 0.369, 0.317) and Se at (0.000, 0.491, 0.078).

Y2IrBr after structural relaxation, computed with PBE-GGA.

The structure belongs to space group P2/m (No. 10); the cell edges are 3.519, 3.454 and 8.308 Å and the angles 90.00°, 90.08° and 90.00°. Symmetry generates all atoms from Y at (0.001, 0.000, 0.199), Ir at (0.500, 0.500, 0.000) and Br at (0.000, 0.500, 0.500).

As for the energy above the most stable polymorph in this dataset: 0.096 eV/atom.

MgTc after structural relaxation, computed with PBE-GGA.

The structure belongs to space group P4/nmm (No. 129, origin choice 2); the cell edges are 3.074, 3.074 and 7.223 Å and the angles 90.00°, 90.00° and 90.00°. Symmetry generates all atoms from Mg at (0.250, 0.250, 0.154) and Tc at (0.250, 0.250, 0.594).

As for the energy above the most stable polymorph in this dataset: 0.000 eV/atom.

LaCe2IrN4 after structural relaxation, computed with PBE-GGA.

The structure belongs to space group Cmcm (No. 63); the cell edges are 3.438, 12.073 and 11.919 Å and the angles 90.00°, 90.00° and 90.00°. Symmetry generates all atoms from La at (0.000, 0.106, 0.250), Ce at (0.000, 0.369, 0.051), Ir at (0.000, 0.154, 0.750), N at (0.000, 0.000, 0.000), N at (0.000, 0.272, 0.620) and N at (0.000, 0.449, 0.250).

YCrAs2Br after structural relaxation, computed with PBE-GGA.

The structure belongs to space group P4/mmm (No. 123); the cell edges are 4.799, 4.799 and 5.008 Å and the angles 90.00°, 90.00° and 90.00°. Symmetry generates all atoms from Y at (0.000, 0.000, 0.000), Cr at (0.500, 0.500, 0.500), As at (0.000, 0.500, 0.500) and Br at (0.500, 0.500, 0.000).

As for the energy above the most stable polymorph in this dataset: 0.000 eV/atom.

Sb8PtRh2 after structural relaxation, computed with PBE-GGA.

The structure belongs to space group P-1 (No. 2); the cell edges are 4.866, 8.483 and 8.516 Å and the angles 60.72°, 78.05° and 88.77°. Symmetry generates all atoms from Sb at (0.127, 0.103, 0.301), Sb at (0.276, 0.186, 0.691), Sb at (0.297, 0.637, 0.662), Sb at (0.355, 0.667, 0.165), Pt at (0.000, 0.500, 0.500) and Rh at (0.336, 0.834, 0.825).

LaScAs2 after structural relaxation, computed with PBE-GGA.

The structure belongs to space group R-3m (No. 166, hexagonal axes); the cell edges are 4.1456, 4.1456 and 20.0955 Å and the angles 90.00°, 90.00° and 120.00°. Symmetry generates all atoms from La at (0.0000, 0.0000, 0.0000), Sc at (0.0000, 0.0000, 0.5000) and As at (0.0000, 0.0000, 0.2405).

As for the energy above the most stable polymorph in this dataset: 0.000 eV/atom.

Ac2PrSb3 after structural relaxation, computed with PBE-GGA.

The structure belongs to space group C2/c (No. 15); the cell edges are 13.359, 9.441 and 15.656 Å and the angles 90.00°, 115.20° and 90.00°. Symmetry generates all atoms from Ac at (0.083, 0.125, 0.415), Ac at (0.249, 0.125, 0.748), Pr at (0.083, 0.375, 0.917), Sb at (0.000, 0.134, 0.750), Sb at (0.000, 0.384, 0.250), Sb at (0.161, 0.380, 0.580) and Sb at (0.169, 0.130, 0.080).

As for the energy above the most stable polymorph in this dataset: 0.000 eV/atom.

Gd2TiCd after structural relaxation, computed with PBE-GGA.

The structure belongs to space group Fm-3m (No. 225); the cell edges are 7.469, 7.469 and 7.469 Å and the angles 90.00°, 90.00° and 90.00°. Symmetry generates all atoms from Gd at (0.250, 0.250, 0.250), Ti at (0.000, 0.000, 0.000) and Cd at (0.000, 0.000, 0.500).

As for the energy above the most stable polymorph in this dataset: 0.054 eV/atom.

DyCuPd6 after structural relaxation, computed with PBE-GGA.

The structure belongs to space group R-3m (No. 166, hexagonal axes); the cell edges are 5.4244, 5.4244 and 19.5579 Å and the angles 90.00°, 90.00° and 120.00°. Symmetry generates all atoms from Dy at (0.0000, 0.0000, 0.0000), Cu at (0.0000, 0.0000, 0.5000) and Pd at (0.0049, 0.5024, 0.9318).

As for the energy above the most stable polymorph in this dataset: 0.412 eV/atom.

DyAgPb2 after structural relaxation, computed with PBE-GGA.

The structure belongs to space group R-3m (No. 166, hexagonal axes); the cell edges are 3.4780, 3.4780 and 32.9099 Å and the angles 90.00°, 90.00° and 120.00°. Symmetry generates all atoms from Dy at (0.0000, 0.0000, 0.0000), Ag at (0.0000, 0.0000, 0.5000) and Pb at (0.0000, 0.0000, 0.0959).

Rb3La3OsO8 after structural relaxation, computed with PBE-GGA.

The structure belongs to space group R-3m (No. 166, hexagonal axes); the cell edges are 7.2067, 7.2067 and 19.6991 Å and the angles 90.00°, 90.00° and 120.00°. Symmetry generates all atoms from Rb at (0.0000, 0.5000, 0.0000), La at (0.0000, 0.5000, 0.5000), Os at (0.0000, 0.0000, 0.5000), O at (0.0000, 0.0000, 0.2272) and O at (0.0401, 0.5200, 0.2206).

CsSrAu3 after structural relaxation, computed with PBE-GGA.

The structure belongs to space group Pm-3m (No. 221); the cell edges are 6.104, 6.104 and 6.104 Å and the angles 90.00°, 90.00° and 90.00°. Symmetry generates all atoms from Cs at (0.000, 0.000, 0.000), Sr at (0.500, 0.500, 0.500) and Au at (0.000, 0.000, 0.500).

As for the energy above the most stable polymorph in this dataset: 0.678 eV/atom.

Calculated volume
In order: 18.38, 14.20, 23.04, 21.05, 21.84, 21.28, 27.07, 29.08, 25.25, 17.06, 15.46, 23.07, 27.15, 24.92, 37.22, 26.04, 20.77, 28.73, 19.69, 45.49
Unit: Å³/atom
Energy
In order: -5.3047, -5.3593, -1.7346, -4.9107, -3.6761, -3.7740, -6.1616, -4.7748, -6.8546, -6.0049, -8.4040, -5.6544, -4.9383, -6.5696, -5.4261, -9.2097, -5.0040, -3.5941, -6.7849, -2.0400
Unit: eV/atom